# 1
# AlInIr2 | Alexandria via LeMat-Bulk | GGA-PBE | optimized geometry
data_AlInIr2
_chemical_formula_sum 'Al1 In1 Ir2'
_space_group_name_H-M_alt 'P 1'
_space_group_IT_number 1
_space_group_name_Hall 'P 1'
_cell_length_a 8.657
_cell_length_b 8.657
_cell_length_c 8.657
_cell_angle_alpha 19.61
_cell_angle_beta 19.61
_cell_angle_gamma 19.61
loop_
_atom_site_label
_atom_site_fract_x
_atom_site_fract_y
_atom_site_fract_z
Ir1 0.992 0.992 0.992
Ir2 0.508 0.508 0.508
Al1 0.250 0.250 0.250
In1 0.750 0.750 0.750
# SG = R-3m
# crystal system = trigonal
# V = 15.97 A^3/atom
# energy relative to the elements = -1.06 eV per formula unit
# energy = -6.316 eV/atom



# 2
# Na3HfPa3N8 | Alexandria via LeMat-Bulk | GGA-PBE | optimized geometry
data_Na3HfPa3N8
_chemical_formula_sum 'Na3 Hf1 Pa3 N8'
_space_group_name_H-M_alt 'P 1'
_space_group_IT_number 1
_space_group_name_Hall 'P 1'
_cell_length_a 7.008
_cell_length_b 7.008
_cell_length_c 6.988
_cell_angle_alpha 120.11
_cell_angle_beta 90.00
_cell_angle_gamma 120.00
loop_
_atom_site_label
_atom_site_fract_x
_atom_site_fract_y
_atom_site_fract_z
Na1 0.000 0.000 0.000
Na2 0.000 0.500 0.000
Na3 0.500 0.500 0.000
Hf1 0.000 0.000 0.500
Pa1 0.500 0.000 0.500
Pa2 0.500 0.500 0.500
Pa3 0.000 0.500 0.500
N1 0.271 0.541 0.312
N2 0.729 0.459 0.688
N3 0.779 0.558 0.323
N4 0.221 0.442 0.677
N5 0.779 0.044 0.323
N6 0.221 0.956 0.677
N7 0.265 0.044 0.323
N8 0.735 0.956 0.677
# energy relative to the elements, uncorrected = -15.866 eV/f.u.
# SG = R-3m
# crystal system = trigonal
# V = 16.15 A^3/atom
# energy = -8.324 eV/atom



# 3
# Pa2Zn2Ge3 | Alexandria via LeMat-Bulk | GGA-PBE | optimized geometry
data_Pa2Zn2Ge3
_chemical_formula_sum 'Pa2 Zn2 Ge3'
_space_group_name_H-M_alt 'P 1'
_space_group_IT_number 1
_space_group_name_Hall 'P 1'
_cell_length_a 4.546
_cell_length_b 3.709
_cell_length_c 9.508
_cell_angle_alpha 101.25
_cell_angle_beta 103.83
_cell_angle_gamma 90.00
loop_
_atom_site_label
_atom_site_fract_x
_atom_site_fract_y
_atom_site_fract_z
Pa1 0.171 0.671 0.341
Pa2 0.829 0.329 0.659
Zn1 0.565 0.565 0.129
Zn2 0.435 0.435 0.871
Ge1 0.000 0.000 0.000
Ge2 0.669 0.169 0.339
Ge3 0.331 0.831 0.661
# SG = Immm
# crystal system = orthorhombic
# V = 21.78 A^3/atom
# energy relative to the elements = -0.30 eV per formula unit
# energy = -5.099 eV/atom



# 4
# KAgPd | Alexandria via LeMat-Bulk | GGA-PBE | optimized geometry
data_KAgPd
_chemical_formula_sum 'K1 Ag1 Pd1'
_space_group_name_H-M_alt 'P 1'
_space_group_IT_number 1
_space_group_name_Hall 'P 1'
_cell_length_a 2.993
_cell_length_b 5.117
_cell_length_c 5.117
_cell_angle_alpha 120.00
_cell_angle_beta 90.00
_cell_angle_gamma 90.00
loop_
_atom_site_label
_atom_site_fract_x
_atom_site_fract_y
_atom_site_fract_z
K1 0.668 0.333 0.667
Pd1 0.164 0.667 0.333
Ag1 0.168 0.000 0.000
# SG = P3m1
# crystal system = trigonal
# V = 22.62 A^3/atom
# E above lowest polymorph = 277 meV/atom
# energy relative to the elements = 0.60 eV per formula unit
# energy = -2.849 eV/atom



# 5
# Rb2YAlTe4 | Alexandria via LeMat-Bulk | GGA-PBE | optimized geometry
data_Rb2YAlTe4
_chemical_formula_sum 'Rb4 Y2 Al2 Te8'
_space_group_name_H-M_alt 'P 1'
_space_group_IT_number 1
_space_group_name_Hall 'P 1'
_cell_length_a 9.303
_cell_length_b 9.303
_cell_length_c 9.479
_cell_angle_alpha 120.62
_cell_angle_beta 120.62
_cell_angle_gamma 90.48
loop_
_atom_site_label
_atom_site_fract_x
_atom_site_fract_y
_atom_site_fract_z
Rb1 0.500 0.000 0.000
Rb2 0.500 0.000 0.500
Rb3 0.000 0.000 0.500
Rb4 0.500 0.500 0.000
Y1 0.000 0.500 0.000
Y2 0.000 0.500 0.500
Al1 0.500 0.500 0.500
Al2 0.000 0.000 0.000
Te1 0.199 0.748 0.974
Te2 0.752 0.301 0.526
Te3 0.248 0.699 0.474
Te4 0.801 0.252 0.026
Te5 0.763 0.737 0.950
Te6 0.763 0.737 0.550
Te7 0.237 0.263 0.450
Te8 0.237 0.263 0.050
# energy relative to the elements, uncorrected = -7.258 eV/f.u.
# SG = Imma
# crystal system = orthorhombic
# V = 35.40 A^3/atom
# energy = -3.996 eV/atom



# 6
# La5Tb4Pm3 | Alexandria via LeMat-Bulk | GGA-PBE | optimized geometry
data_La5Tb4Pm3
_chemical_formula_sum 'La5 Tb4 Pm3'
_space_group_name_H-M_alt 'P 1'
_space_group_IT_number 1
_space_group_name_Hall 'P 1'
_cell_length_a 6.064
_cell_length_b 8.855
_cell_length_c 9.800
_cell_angle_alpha 60.02
_cell_angle_beta 71.98
_cell_angle_gamma 69.98
loop_
_atom_site_label
_atom_site_fract_x
_atom_site_fract_y
_atom_site_fract_z
La1 0.578 0.049 0.796
La2 0.500 0.500 0.500
La3 0.206 0.304 0.284
La4 0.794 0.696 0.716
La5 0.422 0.951 0.204
Tb1 0.921 0.225 0.934
Tb2 0.209 0.950 0.632
Tb3 0.791 0.050 0.368
Tb4 0.079 0.775 0.066
Pm1 0.676 0.543 0.106
Pm2 0.000 0.500 0.500
Pm3 0.324 0.457 0.894
# SG = C2/m
# crystal system = monoclinic
# V = 35.17 A^3/atom
# energy relative to the elements = 2.53 eV per formula unit
# energy = -4.573 eV/atom